No. 1
# BeHg2As, optimized geometry, DFT GGA-PBEsol
data_BeHg2As
_symmetry_space_group_name_H-M 'C 1 m 1'
_symmetry_Int_Tables_number 8
_cell_length_a 6.604
_cell_length_b 3.780
_cell_length_c 7.037
_cell_angle_alpha 90.00
_cell_angle_beta 96.72
_cell_angle_gamma 90.00
loop_
_symmetry_equiv_pos_as_xyz
'x,y,z'
'x,-y,z'
'x+1/2,y+1/2,z'
'x+1/2,-y+1/2,z'
loop_
_atom_site_label
_atom_site_fract_x
_atom_site_fract_y
_atom_site_fract_z
_atom_site_occupancy
Be1 0.000 0.000 0.000 1
Hg1 0.296 0.500 0.672 1
Hg2 0.446 0.000 0.392 1
As1 0.332 0.000 0.016 1
# distance to the lowest polymorph of the same formula = 0 meV/atom
# calculated total energy = -19.900 eV per cell
# ΔE_f = 0.07 eV/atom


No. 2
# ZnAs2Rh, optimized geometry, DFT GGA-PBEsol
data_ZnAs2Rh
_symmetry_space_group_name_H-M 'C 1 m 1'
_symmetry_Int_Tables_number 8
_cell_length_a 9.274
_cell_length_b 2.843
_cell_length_c 5.627
_cell_angle_alpha 90.00
_cell_angle_beta 110.85
_cell_angle_gamma 90.00
loop_
_symmetry_equiv_pos_as_xyz
'x,y,z'
'x,-y,z'
'x+1/2,y+1/2,z'
'x+1/2,-y+1/2,z'
loop_
_atom_site_label
_atom_site_fract_x
_atom_site_fract_y
_atom_site_fract_z
_atom_site_occupancy
Zn1 0.000 0.000 0.000 1
As1 0.141 0.000 0.586 1
As2 0.339 0.000 0.360 1
Rh1 0.225 0.500 0.973 1
# calculated total energy = -40.758 eV per cell
# ΔE_f = -0.11 eV/atom


No. 3
# InSbTe4, optimized geometry, DFT GGA-PBEsol
data_InSbTe4
_symmetry_space_group_name_H-M 'F -4 3 m'
_symmetry_Int_Tables_number 216
_symmetry_space_group_name_Hall 'F -4 2 3'
_cell_length_a 8.897
_cell_length_b 8.897
_cell_length_c 8.897
_cell_angle_alpha 90.00
_cell_angle_beta 90.00
_cell_angle_gamma 90.00
loop_
_atom_site_label
_atom_site_fract_x
_atom_site_fract_y
_atom_site_fract_z
_atom_site_occupancy
In1 0.000 0.000 0.000 1
Sb1 0.250 0.250 0.250 1
Te1 0.124 0.124 0.624 1
# calculated total energy = -77.618 eV per cell


No. 4
# SiSbS2, optimized geometry, DFT GGA-PBEsol
data_SiSbS2
_symmetry_space_group_name_H-M 'F m -3 m'
_symmetry_Int_Tables_number 225
_symmetry_space_group_name_Hall '-F 4 2 3'
_cell_length_a 6.623
_cell_length_b 6.623
_cell_length_c 6.623
_cell_angle_alpha 90.00
_cell_angle_beta 90.00
_cell_angle_gamma 90.00
loop_
_atom_site_label
_atom_site_fract_x
_atom_site_fract_y
_atom_site_fract_z
_atom_site_occupancy
Si1 0.000 0.000 0.000 1
Sb1 0.000 0.000 0.500 1
S1 0.250 0.250 0.250 1
# calculated total energy = -73.327 eV per cell


No. 5
# TcSnH2W, optimized geometry, DFT GGA-PBEsol
data_TcSnH2W
_symmetry_space_group_name_H-M 'P 4 m m'
_symmetry_Int_Tables_number 99
_cell_length_a 3.070
_cell_length_b 3.070
_cell_length_c 6.248
_cell_angle_alpha 90.00
_cell_angle_beta 90.00
_cell_angle_gamma 90.00
loop_
_symmetry_equiv_pos_as_xyz
'x,y,z'
'-y,x,z'
'-x,-y,z'
'y,-x,z'
'-x,y,z'
'y,x,z'
'x,-y,z'
'-y,-x,z'
loop_
_atom_site_label
_atom_site_fract_x
_atom_site_fract_y
_atom_site_fract_z
_atom_site_occupancy
Tc1 0.000 0.000 0.000 1
Sn1 0.500 0.500 0.283 1
H1 0.000 0.500 0.591 1
W1 0.500 0.500 0.755 1
# calculated total energy = -36.009 eV per cell


No. 6
# LaAg2, optimized geometry, DFT GGA-PBEsol
data_LaAg2
_symmetry_space_group_name_H-M 'I m m m'
_symmetry_Int_Tables_number 71
_symmetry_space_group_name_Hall '-I 2 2'
_cell_length_a 4.214
_cell_length_b 5.987
_cell_length_c 11.332
_cell_angle_alpha 90.00
_cell_angle_beta 90.00
_cell_angle_gamma 90.00
loop_
_atom_site_label
_atom_site_fract_x
_atom_site_fract_y
_atom_site_fract_z
_atom_site_occupancy
La1 0.000 0.000 0.175 1
Ag1 0.000 0.244 0.500 1
Ag2 0.000 0.500 0.119 1
# calculated total energy = -49.871 eV per cell
# ΔE_f = -0.17 eV/atom


No. 7
# BaLa3, optimized geometry, DFT GGA-PBEsol
data_BaLa3
_symmetry_space_group_name_H-M 'P 4/m m m'
_symmetry_Int_Tables_number 123
_symmetry_space_group_name_Hall '-P 4 2'
_cell_length_a 3.716
_cell_length_b 3.716
_cell_length_c 10.941
_cell_angle_alpha 90.00
_cell_angle_beta 90.00
_cell_angle_gamma 90.00
loop_
_atom_site_label
_atom_site_fract_x
_atom_site_fract_y
_atom_site_fract_z
_atom_site_occupancy
Ba1 0.000 0.000 0.000 1
La1 0.000 0.000 0.500 1
La2 0.500 0.500 0.283 1
# distance to the lowest polymorph of the same formula = 0 meV/atom
# calculated total energy = -17.892 eV per cell
# ΔE_f = 0.07 eV/atom


No. 8
# ErAg2, optimized geometry, DFT GGA-PBEsol
data_ErAg2
_symmetry_space_group_name_H-M 'I 4/m m m'
_symmetry_Int_Tables_number 139
_symmetry_space_group_name_Hall '-I 4 2'
_cell_length_a 3.636
_cell_length_b 3.636
_cell_length_c 9.016
_cell_angle_alpha 90.00
_cell_angle_beta 90.00
_cell_angle_gamma 90.00
loop_
_atom_site_label
_atom_site_fract_x
_atom_site_fract_y
_atom_site_fract_z
_atom_site_occupancy
Er1 0.000 0.000 0.000 1
Ag1 0.000 0.000 0.330 1
# calculated total energy = -25.217 eV per cell
# ΔE_f = -0.35 eV/atom


- What is the formula in the fifth record?
  TcSnH2W